(1)
TbYCu2Si4 after structural relaxation. Source: OQMD, functional GGA-PBE.

Total energy, eV per atom: -5.6072

CIF file:
```
data_TbYCu2Si4
_chemical_formula_sum 'Tb2 Y2 Cu4 Si8'
_symmetry_space_group_name_H-M 'A m m 2'
_symmetry_Int_Tables_number 38
_symmetry_space_group_name_Hall 'A 2 -2'
_cell_length_a 3.9809
_cell_length_b 4.0225
_cell_length_c 16.8995
_cell_angle_alpha 90.00
_cell_angle_beta 90.00
_cell_angle_gamma 90.00
loop_
_atom_site_label
_atom_site_type_symbol
_atom_site_fract_x
_atom_site_fract_y
_atom_site_fract_z
_atom_site_occupancy
Tb1 Tb 0.0000 0.0000 0.0000 1
Y1 Y 0.5000 0.0000 0.2035 1
Cu1 Cu 0.0000 0.0000 0.7741 1
Cu2 Cu 0.5000 0.0000 0.4299 1
Si1 Si 0.0000 0.0000 0.3512 1
Si2 Si 0.0000 0.0000 0.6385 1
Si3 Si 0.5000 0.0000 0.5655 1
Si4 Si 0.5000 0.0000 0.8527 1
```

(2)
Li4AsPPd2 after structural relaxation. Source: OQMD, functional GGA-PBE.

Total energy, eV per atom: -4.1490

CIF file:
```
data_Li4AsPPd2
_chemical_formula_sum 'Li4 As1 P1 Pd2'
_symmetry_space_group_name_H-M 'P -4 m 2'
_symmetry_Int_Tables_number 115
_symmetry_space_group_name_Hall 'P -4 -2'
_cell_length_a 4.2148
_cell_length_b 4.2148
_cell_length_c 5.9944
_cell_angle_alpha 90.00
_cell_angle_beta 90.00
_cell_angle_gamma 90.00
loop_
_atom_site_label
_atom_site_type_symbol
_atom_site_fract_x
_atom_site_fract_y
_atom_site_fract_z
_atom_site_occupancy
Li1 Li 0.0000 0.0000 0.0000 1
Li2 Li 0.0000 0.5000 0.2423 1
Li3 Li 0.5000 0.5000 0.5000 1
As1 As 0.0000 0.0000 0.5000 1
P1 P 0.5000 0.5000 0.0000 1
Pd1 Pd 0.0000 0.5000 0.7650 1
```

(3)
HfNbTc2 after structural relaxation. Source: OQMD, functional GGA-PBE.

ΔH_f (0 K), eV per atom: -0.15
Excess energy over the best structure of this formula in the dataset, meV/atom: 295.6

CIF file:
```
data_HfNbTc2
_chemical_formula_sum 'Hf4 Nb4 Tc8'
_symmetry_space_group_name_H-M 'F -4 3 m'
_symmetry_Int_Tables_number 216
_symmetry_space_group_name_Hall 'F -4 2 3'
_cell_length_a 6.4273
_cell_length_b 6.4273
_cell_length_c 6.4273
_cell_angle_alpha 90.00
_cell_angle_beta 90.00
_cell_angle_gamma 90.00
loop_
_atom_site_label
_atom_site_type_symbol
_atom_site_fract_x
_atom_site_fract_y
_atom_site_fract_z
_atom_site_occupancy
Hf1 Hf 0.0000 0.0000 0.0000 1
Nb1 Nb 0.2500 0.2500 0.7500 1
Tc1 Tc 0.0000 0.0000 0.5000 1
Tc2 Tc 0.2500 0.2500 0.2500 1
```

(4)
Sr2Pd after structural relaxation. Source: OQMD, functional GGA-PBE.

Total energy, eV per atom: -3.2361

CIF file:
```
data_Sr2Pd
_chemical_formula_sum 'Sr4 Pd2'
_symmetry_space_group_name_H-M 'A m m 2'
_symmetry_Int_Tables_number 38
_symmetry_space_group_name_Hall 'A 2 -2'
_cell_length_a 4.7281
_cell_length_b 4.0050
_cell_length_c 11.3602
_cell_angle_alpha 90.00
_cell_angle_beta 90.00
_cell_angle_gamma 90.00
loop_
_atom_site_label
_atom_site_type_symbol
_atom_site_fract_x
_atom_site_fract_y
_atom_site_fract_z
_atom_site_occupancy
Sr1 Sr 0.0000 0.0000 0.0000 1
Sr2 Sr 0.5000 0.0000 0.2613 1
Pd1 Pd 0.5000 0.0000 0.5424 1
```

(5)
PtPbO3 after structural relaxation. Source: OQMD, functional GGA-PBE.

Total energy, eV per atom: -5.2721

CIF file:
```
data_PtPbO3
_chemical_formula_sum 'Pt4 Pb4 O12'
_symmetry_space_group_name_H-M 'P n m a'
_symmetry_Int_Tables_number 62
_symmetry_space_group_name_Hall '-P 2ac 2n'
_cell_length_a 6.0757
_cell_length_b 7.8483
_cell_length_c 5.9541
_cell_angle_alpha 90.00
_cell_angle_beta 90.00
_cell_angle_gamma 90.00
loop_
_atom_site_label
_atom_site_type_symbol
_atom_site_fract_x
_atom_site_fract_y
_atom_site_fract_z
_atom_site_occupancy
Pt1 Pt 0.0344 0.2500 0.0063 1
Pb1 Pb 0.0000 0.0000 0.5000 1
O1 O 0.1493 0.5783 0.8561 1
O2 O 0.1871 0.7500 0.3499 1
```

(6)
BaPmDy after structural relaxation. Source: OQMD, functional GGA-PBE.

Total energy, eV per atom: -2.9330

CIF file:
```
data_BaPmDy
_chemical_formula_sum 'Ba4 Pm4 Dy4'
_symmetry_space_group_name_H-M 'F -4 3 m'
_symmetry_Int_Tables_number 216
_symmetry_space_group_name_Hall 'F -4 2 3'
_cell_length_a 8.2326
_cell_length_b 8.2326
_cell_length_c 8.2326
_cell_angle_alpha 90.00
_cell_angle_beta 90.00
_cell_angle_gamma 90.00
loop_
_atom_site_label
_atom_site_type_symbol
_atom_site_fract_x
_atom_site_fract_y
_atom_site_fract_z
_atom_site_occupancy
Ba1 Ba 0.0000 0.0000 0.0000 1
Pm1 Pm 0.2500 0.2500 0.2500 1
Dy1 Dy 0.0000 0.0000 0.5000 1
```

(7)
CdAg9 after structural relaxation. Source: OQMD, functional GGA-PBE.

ΔH_f (0 K), eV per atom: 0.02
Excess energy over the best structure of this formula in the dataset, meV/atom: 0.0

CIF file:
```
data_CdAg9
_chemical_formula_sum 'Cd2 Ag18'
_symmetry_space_group_name_H-M 'P 4/n m m'
_symmetry_Int_Tables_number 129
_cell_length_a 2.9301
_cell_length_b 2.9301
_cell_length_c 55.7527
_cell_angle_alpha 90.00
_cell_angle_beta 90.00
_cell_angle_gamma 90.00
loop_
_symmetry_equiv_pos_as_xyz
'x,y,z'
'-x,-y,-z'
'-y+1/2,x,z'
'y+1/2,-x,-z'
'-x+1/2,-y+1/2,z'
'x+1/2,y+1/2,-z'
'y,-x+1/2,z'
'-y,x+1/2,-z'
'x+1/2,-y,-z'
'-x+1/2,y,z'
'-y,-x,-z'
'y,x,z'
'-x,y+1/2,-z'
'x,-y+1/2,z'
'y+1/2,x+1/2,-z'
'-y+1/2,-x+1/2,z'
loop_
_atom_site_label
_atom_site_type_symbol
_atom_site_fract_x
_atom_site_fract_y
_atom_site_fract_z
_atom_site_occupancy
Cd1 Cd 0.2500 0.2500 0.1399 1
Ag1 Ag 0.2500 0.2500 0.2184 1
Ag2 Ag 0.2500 0.2500 0.2939 1
Ag3 Ag 0.2500 0.2500 0.3692 1
Ag4 Ag 0.2500 0.2500 0.4441 1
Ag5 Ag 0.2500 0.2500 0.5186 1
Ag6 Ag 0.2500 0.2500 0.5933 1
Ag7 Ag 0.2500 0.2500 0.6684 1
Ag8 Ag 0.2500 0.2500 0.7438 1
Ag9 Ag 0.2500 0.2500 0.8192 1
```

(8)
Rb3Hg11 after structural relaxation. Source: OQMD, functional GGA-PBE.

Excess energy over the best structure of this formula in the dataset, meV/atom: 0.0

CIF file:
```
data_Rb3Hg11
_chemical_formula_sum 'Rb6 Hg22'
_symmetry_space_group_name_H-M 'I m m m'
_symmetry_Int_Tables_number 71
_symmetry_space_group_name_Hall '-I 2 2'
_cell_length_a 5.0981
_cell_length_b 11.2160
_cell_length_c 14.8067
_cell_angle_alpha 90.00
_cell_angle_beta 90.00
_cell_angle_gamma 90.00
loop_
_atom_site_label
_atom_site_type_symbol
_atom_site_fract_x
_atom_site_fract_y
_atom_site_fract_z
_atom_site_occupancy
Rb1 Rb 0.0000 0.0000 0.0000 1
Rb2 Rb 0.0000 0.0000 0.3020 1
Hg1 Hg 0.0000 0.1893 0.5000 1
Hg2 Hg 0.0000 0.2844 0.1374 1
Hg3 Hg 0.0000 0.3647 0.3396 1
Hg4 Hg 0.0000 0.5000 0.0000 1
```

(9)
BeCuPb after structural relaxation. Source: OQMD, functional GGA-PBE.

Total energy, eV per atom: -3.0783

CIF file:
```
data_BeCuPb
_chemical_formula_sum 'Be4 Cu4 Pb4'
_symmetry_space_group_name_H-M 'F -4 3 m'
_symmetry_Int_Tables_number 216
_symmetry_space_group_name_Hall 'F -4 2 3'
_cell_length_a 6.0815
_cell_length_b 6.0815
_cell_length_c 6.0815
_cell_angle_alpha 90.00
_cell_angle_beta 90.00
_cell_angle_gamma 90.00
loop_
_atom_site_label
_atom_site_type_symbol
_atom_site_fract_x
_atom_site_fract_y
_atom_site_fract_z
_atom_site_occupancy
Be1 Be 0.0000 0.0000 0.0000 1
Cu1 Cu 0.0000 0.0000 0.5000 1
Pb1 Pb 0.2500 0.2500 0.2500 1
```

(10)
PrGdAl2Pd4 after structural relaxation. Source: OQMD, functional GGA-PBE.

Total energy, eV per atom: -5.6021

CIF file:
```
data_PrGdAl2Pd4
_chemical_formula_sum 'Pr1 Gd1 Al2 Pd4'
_symmetry_space_group_name_H-M 'P -6 m 2'
_symmetry_Int_Tables_number 187
_symmetry_space_group_name_Hall 'P -6 2'
_cell_length_a 4.4035
_cell_length_b 4.4035
_cell_length_c 9.3307
_cell_angle_alpha 90.00
_cell_angle_beta 90.00
_cell_angle_gamma 120.00
loop_
_atom_site_label
_atom_site_type_symbol
_atom_site_fract_x
_atom_site_fract_y
_atom_site_fract_z
_atom_site_occupancy
Pr1 Pr 0.0000 0.0000 0.0000 1
Gd1 Gd 0.6667 0.3333 0.5000 1
Al1 Al 0.3333 0.6667 0.2552 1
Pd1 Pd 0.0000 0.0000 0.3316 1
Pd2 Pd 0.6667 0.3333 0.1818 1
```

(11)
RbYTe3Pd after structural relaxation. Source: OQMD, functional GGA-PBE.

Total energy, eV per atom: -4.6584

CIF file:
```
data_RbYTe3Pd
_chemical_formula_sum 'Rb4 Y4 Te12 Pd4'
_symmetry_space_group_name_H-M 'C m c m'
_symmetry_Int_Tables_number 63
_symmetry_space_group_name_Hall '-C 2c 2'
_cell_length_a 4.4571
_cell_length_b 18.2646
_cell_length_c 10.1050
_cell_angle_alpha 90.00
_cell_angle_beta 90.00
_cell_angle_gamma 90.00
loop_
_atom_site_label
_atom_site_type_symbol
_atom_site_fract_x
_atom_site_fract_y
_atom_site_fract_z
_atom_site_occupancy
Rb1 Rb 0.0000 0.2463 0.2500 1
Y1 Y 0.0000 0.0000 0.0000 1
Te1 Te 0.0000 0.0962 0.7500 1
Te2 Te 0.0000 0.3913 0.5880 1
Pd1 Pd 0.0000 0.4932 0.2500 1
```

(12)
TbNdCo2Ge4 after structural relaxation. Source: OQMD, functional GGA-PBE.

Total energy, eV per atom: -5.9150

CIF file:
```
data_TbNdCo2Ge4
_chemical_formula_sum 'Tb2 Nd2 Co4 Ge8'
_symmetry_space_group_name_H-M 'A m m 2'
_symmetry_Int_Tables_number 38
_symmetry_space_group_name_Hall 'A 2 -2'
_cell_length_a 4.1859
_cell_length_b 4.1917
_cell_length_c 16.6631
_cell_angle_alpha 90.00
_cell_angle_beta 90.00
_cell_angle_gamma 90.00
loop_
_atom_site_label
_atom_site_type_symbol
_atom_site_fract_x
_atom_site_fract_y
_atom_site_fract_z
_atom_site_occupancy
Tb1 Tb 0.0000 0.0000 0.0000 1
Nd1 Nd 0.5000 0.0000 0.7822 1
Co1 Co 0.0000 0.0000 0.2088 1
Co2 Co 0.5000 0.0000 0.5715 1
Ge1 Ge 0.0000 0.0000 0.3462 1
Ge2 Ge 0.0000 0.0000 0.6392 1
Ge3 Ge 0.5000 0.0000 0.1401 1
Ge4 Ge 0.5000 0.0000 0.4361 1
```